No. 1
Below is crystalline CaGe2Bi2 at its relaxed geometry, with properties calculated at the PBE-GGA level.

abc: 7.778 7.778 7.778
angles: 146.05 146.05 48.77
Sites, in units of the cell vectors:
Ca 0.000 0.000 0.000
Ge 0.415 0.415 0.000
Ge 0.585 0.585 0.000
Bi 0.250 0.750 0.500
Bi 0.750 0.250 0.500

symmetry = No. 139
energy of formation = -0.03 eV per atom
excess energy over the best structure of this formula in the dataset = 80 meV/atom

No. 2
Below is crystalline LiBe2AuN at its relaxed geometry, with properties calculated at the PBE-GGA level.

abc: 4.009 4.009 4.083
angles: 90.00 90.00 90.00
Sites, in units of the cell vectors:
Li 0.000 0.000 0.000
Be 0.000 0.500 0.000
Be 0.500 0.000 0.000
Au 0.000 0.000 0.500
N 0.500 0.500 0.500

symmetry = No. 123
formation energy without anion corrections = 1822.5 meV/atom